# SrAl4In, relaxed, DFT PBE
data_SrAl4In
_symmetry_space_group_name_H-M 'F -4 3 m'
_symmetry_Int_Tables_number 216
_symmetry_space_group_name_Hall 'F -4 2 3'
_cell_length_a 8.136
_cell_length_b 8.136
_cell_length_c 8.136
_cell_angle_alpha 90.00
_cell_angle_beta 90.00
_cell_angle_gamma 90.00
loop_
_atom_site_label
_atom_site_type_symbol
_atom_site_fract_x
_atom_site_fract_y
_atom_site_fract_z
_atom_site_occupancy
Sr1 Sr 0.000 0.000 0.000 1
Al1 Al 0.125 0.125 0.625 1
In1 In 0.250 0.250 0.250 1
# Volume ... 134.6 Å³/f.u.
# Uncorrected energy ... -3.276 eV per atom
# ΔE_f ... -0.04 eV/atom